Run i
A relaxed Ac2La2Pr7 crystal, computed with PBE.

calculated volume = 38.2 A^3/atom

Cell: 11.155 3.824 11.155 Å, 75.99 112.77 104.01°
Atoms (fractional coordinates):
Ac  0.800  0.269  0.200
Pr  0.404  0.560  0.596
Pr  0.574  0.855  0.907
Pr  0.907  0.145  0.574
La  0.751  0.500  0.751
Pr  0.093  0.855  0.426
La  0.249  0.500  0.249
Pr  0.596  0.440  0.404
Pr  0.000  0.000  0.000
Ac  0.200  0.731  0.800
Pr  0.426  0.145  0.093



Run ii
A relaxed Ac2La2Pr7 crystal, computed with PBE.

calculated volume = 40.5 A^3/atom

Cell: 8.442 7.493 7.493 Å, 79.77 76.88 76.88°
Atoms (fractional coordinates):
Ac  0.478  0.344  0.344
Pr  0.787  0.589  0.973
Pr  0.213  0.027  0.411
La  0.000  0.158  0.842
Pr  0.500  0.000  0.000
Ac  0.522  0.656  0.656
Pr  0.213  0.411  0.027
La  0.000  0.842  0.158
Pr  0.787  0.973  0.589
Pr  0.890  0.392  0.392
Pr  0.110  0.608  0.608



Which structure wins on stability? run i wins.